# 1
Compound: Be2WCl
Source: Alexandria via LeMat-Bulk
Functional: PBE
Structure: relaxed

Lattice parameters (Å, degrees): 2.8917 2.8917 9.9167 90.00 90.00 124.23
Element x y z (fractional)
Be 0.0000 0.0000 0.0447
Be 0.5000 0.5000 0.2380
W 0.5000 0.5000 0.8362
Cl 0.0000 0.0000 0.3810

Summary:
Its distance to the lowest polymorph of the same formula is 0.361 eV per atom. As for the formation energy (no corrections): 563.1 meV/atom. The electronic total energy comes out at -20.0 eV per cell.

# 2
Compound: RuCN
Source: Alexandria via LeMat-Bulk
Functional: PBE
Structure: relaxed

Lattice parameters (Å, degrees): 2.7621 2.4071 8.2330 90.00 90.00 90.00
Element x y z (fractional)
C 0.0000 0.5000 0.3061
C 0.0000 0.0000 0.8061
Ru 0.5000 0.0000 0.6091
Ru 0.5000 0.5000 0.1091
N 0.0000 0.0000 0.3991
N 0.0000 0.5000 0.8991

Summary:
Its distance to the lowest polymorph of the same formula is 0.070 eV per atom. As for the formation energy (no corrections): 508.1 meV/atom. The electronic total energy comes out at -50.6 eV per cell.

# 3
Compound: La3InSn3
Source: Alexandria via LeMat-Bulk
Functional: PBE
Structure: relaxed

Lattice parameters (Å, degrees): 4.7566 6.5101 15.2082 81.62 81.00 68.57
Element x y z (fractional)
Sn 0.1333 0.2751 0.4583
Sn 0.8840 0.1567 0.0752
Sn 0.1160 0.8433 0.9248
Sn 0.8667 0.7249 0.5417
Sn 0.0007 0.2217 0.7770
Sn 0.9993 0.7783 0.2230
La 0.7284 0.7688 0.7744
La 0.3926 0.2915 0.9233
La 0.2716 0.2312 0.2256
La 0.6074 0.7085 0.0767
La 0.5145 0.3478 0.6231
La 0.4855 0.6522 0.3769
In 0.7725 0.0786 0.3765
In 0.2275 0.9214 0.6235

Summary:
Its distance to the lowest polymorph of the same formula is 0.000 eV per atom. The value obtained for the formation energy is -708 meV/atom. The electronic total energy comes out at -69.0 eV per cell.

# 4
Compound: LiCeSmRe
Source: Alexandria via LeMat-Bulk
Functional: PBE
Structure: relaxed

Lattice parameters (Å, degrees): 4.9894 4.9894 4.9894 60.00 60.00 60.00
Each line ends with the local moment (μB).
Element x y z (fractional)
Re 0.5000 0.5000 0.5000  -0.03
Sm 0.2500 0.2500 0.2500  0.00
Ce 0.7500 0.7500 0.7500  0.25
Li 0.0000 0.0000 0.0000  0.01

Summary:
The value obtained for the formation energy is 124 meV/atom. The electronic total energy comes out at -24.5 eV per cell.